Material: MgCrO2F
Method: DFT, PBE with a Hubbard U
State: relaxed

abc: 3.935 3.935 3.697
angles: 90.00 90.00 90.00
Sites, in units of the cell vectors:
Mg: 0.000 0.000 0.000
Cr: 0.500 0.500 0.500
O: 0.000 0.500 0.000
O: 0.500 0.000 0.000
F: 0.000 0.000 0.500

Output
The total DFT energy (no corrections) comes out at -5.69 eV per atom. The value obtained for the density of states at the Fermi level is 0.4424 states/eV/atom.